# PuCrInO6 (PBE+U, optimized geometry)
data_PuCrInO6
_chemical_formula_sum 'Pu2 Cr2 In2 O12'
_symmetry_space_group_name_H-M 'P -3 1 c'
_symmetry_Int_Tables_number 163
_symmetry_space_group_name_Hall '-P 3 2c'
_cell_length_a 5.3117
_cell_length_b 5.3117
_cell_length_c 9.3298
_cell_angle_alpha 90.00
_cell_angle_beta 90.00
_cell_angle_gamma 120.00
loop_
_atom_site_label
_atom_site_type_symbol
_atom_site_fract_x
_atom_site_fract_y
_atom_site_fract_z
Pu1 Pu 0.3333 0.6667 0.2500
Cr1 Cr 0.3333 0.6667 0.7500
In1 In 0.0000 0.0000 0.0000
O1 O 0.0087 0.3509 0.6337
# **Crystal system**: trigonal
# **Calculated volume**: 12.665 Å³/atom
# **D(E_F)**: 14.34 states/eV/cell
# **Uncorrected energy**: -8.073 eV per atom